Here is crystalline PrSiN at its relaxed geometry from the Alexandria database. Energies are from PBE.

Properties
- formation energy without anion corrections (eV per atom) = -0.90
- size of the total moment (μB per formula unit) = 0.0

POSCAR file:
```
PrSiN
1.0
1.906 -6.687 0.000
1.906 6.687 0.000
0.000 0.000 4.031
Pr Si N
2 2 2
direct
0.149 0.851 0.750
0.851 0.149 0.250
0.462 0.538 0.750
0.538 0.462 0.250
0.332 0.668 0.750
0.668 0.332 0.250
```